1.
VASP calculation (PBE) on crystalline BaNa3S8 at its relaxed geometry.

abc: 7.627 7.329 7.638
angles: 63.62 81.51 116.33
Atoms (fractional coordinates):
S: 0.198 0.527 0.802
S: 0.671 0.473 0.329
S: 0.448 0.000 0.076
Ba: 0.083 0.000 0.917
Na: 0.333 0.500 0.167
Na: 0.834 0.500 0.667
S: 0.496 0.526 0.505
Na: 0.583 0.000 0.416
S: 0.243 0.000 0.281
S: 0.969 0.474 0.031
S: 0.718 0.000 0.757
S: 0.924 0.000 0.552

Space-group type = Cm, No. 8
DOS at the Fermi energy = 6.39 states/eV/f.u.
Total energy = -3.9054 eV per atom
Spin magnetization = 0.00 μB/f.u.
ΔE_f (raw) = -664 meV per atom



2.
VASP calculation (PBE) on crystalline Ba3NaS at its relaxed geometry.

abc: 6.306 6.306 6.306
angles: 90.00 90.00 90.00
Atoms (fractional coordinates):
Na: 0.500 0.500 0.500
Ba: 0.000 0.000 0.500
Ba: 0.000 0.500 0.000
Ba: 0.500 0.000 0.000
S: 0.000 0.000 0.000

Space-group type = Pm-3m, No. 221
DOS at the Fermi energy = 8.63 states/eV/f.u.
Total energy = -2.9858 eV per atom
ΔE to the lowest computed polymorph = 0 meV per atom
Spin magnetization = 0.00 μB/f.u.
ΔE_f (raw) = -743 meV per atom



3.
VASP calculation (PBE) on crystalline Ba2NaS2 at its relaxed geometry.

abc: 8.470 8.470 4.253
angles: 90.00 90.00 90.00
Last column: magnetic moment on the atom in μB.
Atoms (fractional coordinates):
S: 0.343 0.843 0.000  0.02
Na: 0.000 0.000 0.000  0.04
Ba: 0.652 0.848 0.500  0.06
S: 0.657 0.157 0.000  0.02
Ba: 0.848 0.348 0.500  0.06
Na: 0.500 0.500 0.000  0.04
S: 0.843 0.657 0.000  0.01
Ba: 0.152 0.652 0.500  0.06
Ba: 0.348 0.152 0.500  0.06
S: 0.157 0.343 0.000  0.01

Space-group type = P4/mbm, No. 127
DOS at the Fermi energy = 0.88 states/eV/f.u.
Total energy = -4.1687 eV per atom
Spin magnetization = 0.86 μB/f.u.
ΔE_f (raw) = -1485 meV per atom



4.
VASP calculation (PBE) on crystalline BaNa2S at its relaxed geometry.

abc: 8.363 8.363 8.301
angles: 59.75 59.75 90.00
Atoms (fractional coordinates):
Ba: 0.000 0.000 0.000
S: 0.500 0.500 0.000
Na: 0.350 0.625 0.250
Na: 0.375 0.600 0.750
S: 0.250 0.750 0.500
Na: 0.400 0.125 0.250
Ba: 0.750 0.250 0.500
Na: 0.875 0.650 0.750

Space-group type = I-42d, No. 122
DOS at the Fermi energy = 4.04 states/eV/f.u.
Total energy = -2.5408 eV per atom
Spin magnetization = 0.00 μB/f.u.
ΔE_f (raw) = -369 meV per atom



5.
VASP calculation (PBE) on crystalline Ba2NaSbS4 at its relaxed geometry.

abc: 8.562 8.562 8.749
angles: 120.72 120.72 89.06
Atoms (fractional coordinates):
S: 0.758 0.742 0.974
Na: 0.000 0.500 0.000
S: 0.242 0.258 0.026
S: 0.775 0.243 0.009
S: 0.743 0.275 0.509
Ba: 0.000 0.000 0.500
Na: 0.000 0.500 0.500
S: 0.257 0.725 0.491
Sb: 0.000 0.000 0.000
Ba: 0.500 0.500 0.000
Ba: 0.500 0.000 0.000
S: 0.225 0.757 0.991
Sb: 0.500 0.500 0.500
S: 0.242 0.258 0.474
S: 0.758 0.742 0.526
Ba: 0.500 0.000 0.500

Space-group type = Imma, No. 74
Total energy = -4.4998 eV per atom
Spin magnetization = 0.00 μB/f.u.
ΔE_f (raw) = -1275 meV per atom



6.
VASP calculation (PBE) on crystalline Ba2NaSb2S6 at its relaxed geometry.

abc: 7.350 6.988 8.718
angles: 112.29 90.00 121.73
Atoms (fractional coordinates):
Ba: 0.291 0.583 0.820
Ba: 0.709 0.417 0.180
Sb: 0.048 0.097 0.191
S: 0.245 0.491 0.436
Sb: 0.952 0.903 0.809
S: 0.755 0.509 0.564
S: 0.338 0.141 0.808
S: 0.803 0.141 0.808
S: 0.662 0.859 0.192
Na: 0.500 0.000 0.500
S: 0.197 0.859 0.192

Space-group type = C2/m, No. 12
DOS at the Fermi energy = 4.77 states/eV/f.u.
Total energy = -4.4046 eV per atom
Spin magnetization = 0.01 μB/f.u.
ΔE_f (raw) = -934 meV per atom



7.
VASP calculation (PBE) on crystalline BaNaSbS3 at its relaxed geometry.

abc: 5.276 6.916 10.428
angles: 90.00 90.00 112.42
Atoms (fractional coordinates):
Sb: 0.529 0.058 0.250
S: 0.657 0.314 0.077
S: 0.991 0.982 0.250
Ba: 0.754 0.509 0.750
Sb: 0.471 0.942 0.750
S: 0.657 0.314 0.423
S: 0.009 0.018 0.750
Na: 0.000 0.000 0.500
S: 0.343 0.686 0.577
Na: 0.000 0.000 0.000
Ba: 0.246 0.491 0.250
S: 0.343 0.686 0.923

Space-group type = Cmcm, No. 63
Total energy = -4.3299 eV per atom
Spin magnetization = 0.00 μB/f.u.
ΔE_f (raw) = -1039 meV per atom



8.
VASP calculation (PBE) on crystalline BaNa2SiS4 at its relaxed geometry.

abc: 8.345 8.345 9.959
angles: 129.25 129.25 73.43
Atoms (fractional coordinates):
S: 0.722 0.278 0.484
S: 0.056 0.019 0.819
S: 0.278 0.722 0.516
S: 0.778 0.222 0.984
Na: 0.500 0.500 0.000
S: 0.944 0.981 0.181
Ba: 0.000 0.500 0.500
Na: 0.500 0.000 0.000
S: 0.481 0.444 0.681
Na: 0.500 0.000 0.500
S: 0.222 0.778 0.016
Si: 0.000 0.000 0.000
Si: 0.500 0.500 0.500
Ba: 0.000 0.500 0.000
Na: 0.000 0.000 0.500
S: 0.519 0.556 0.319

Space-group type = C2/c, No. 15
DOS at the Fermi energy = 0.81 states/eV/f.u.
Total energy = -4.2593 eV per atom
Spin magnetization = 0.00 μB/f.u.
ΔE_f (raw) = -948 meV per atom



Q: Which of these has the highest total energy?
A: BaNa2S



Q: Number 4 is which compound?
A: BaNa2S



Q: Among the records above, which one has the lowest total energy?
A: Ba2NaSbS4



Q: The highest total energy belongs to which entry?
A: BaNa2S